Entry 1:
Computed, not measured: MgCO3 after structural relaxation at the PBE level of DFT.

Structure (POSCAR):
```
MgCO3
1.0
0.5765 2.0110 4.7202
-3.4617 -3.8305 -0.0276
2.7007 -2.4458 0.7121
C O Mg
2 6 2
direct
0.3481 0.3481 0.5000 C
0.6519 0.6519 0.0000 C
0.8947 0.6531 0.1402 O
0.6531 0.8947 0.8598 O
0.5809 0.4191 0.7500 O
0.4191 0.5809 0.2500 O
0.1053 0.3469 0.6402 O
0.3469 0.1053 0.3598 O
0.7857 0.2143 0.2500 Mg
0.2143 0.7857 0.7500 Mg
```

## Properties
Crystal system   orthorhombic
Electronic total energy   -6.791 eV per atom
Spin magnetization   0.000 μB/atom
Formation energy (no corrections)   -1652 meV/atom

=====

Entry 2:
Computed, not measured: MgCO3 after structural relaxation at the PBE level of DFT.

Structure (POSCAR):
```
MgCO3
1.0
4.6928 0.0000 0.0000
2.3464 4.0641 0.0000
2.3464 1.3547 5.0605
C O Mg
2 6 2
direct
0.7500 0.7500 0.7500 C
0.2500 0.2500 0.2500 C
0.9735 0.5265 0.2500 O
0.0265 0.4735 0.7500 O
0.4735 0.7500 0.7500 O
0.2500 0.9735 0.2500 O
0.5265 0.2500 0.2500 O
0.7500 0.0265 0.7500 O
0.0000 0.0000 0.0000 Mg
0.5000 0.5000 0.5000 Mg
```

## Properties
Crystal system   trigonal
Electronic total energy   -7.167 eV per atom
Spin magnetization   0.000 μB/atom
Formation energy (no corrections)   -2029 meV/atom